[1]
Compound: NaCa2ZnRh
Source: Alexandria via LeMat-Bulk
Functional: SCAN
Structure: PBEsol geometry

Structure (POSCAR):
```
NaCa2ZnRh
1.0
5.399 0.000 0.000
0.000 5.399 0.000
0.000 0.000 4.844
Na Ca Zn Rh
1 2 1 1
Cartesian
0.000 0.000 0.000
0.000 2.699 2.422
2.699 0.000 2.422
2.699 2.699 0.000
2.699 2.699 2.422
```

E_tot (eV for the cell shown): -71.79
DFT formation energy (eV per atom): -0.1921
Theoretical density (kg/m3): 3193
Volume (Å³ per atom): 28.23

[2]
Compound: ScBe2Ge2
Source: Alexandria via LeMat-Bulk
Functional: SCAN
Structure: PBEsol geometry

Structure (POSCAR):
```
ScBe2Ge2
1.0
-1.867 1.867 5.124
1.867 -1.867 5.124
1.867 1.867 -5.124
Sc Be Ge
1 2 2
Cartesian
0.000 0.000 0.000
1.867 0.000 2.562
0.000 1.867 2.562
0.000 0.000 3.891
0.000 0.000 6.358
```

E_tot (eV for the cell shown): -62.35
DFT formation energy (eV per atom): -0.2454
Theoretical density (kg/m3): 4839
Volume (Å³ per atom): 14.29

Look up the DFT formation energy of the second one.
-0.2454 eV per atom

theoretical density of number 1 (NaCa2ZnRh)?
3193 kg/m3

Which of these has the highest theoretical density?
ScBe2Ge2